# 1
# Ge2PdO

An optimized crystal structure of Ge2PdO (PBE, Alexandria via LeMat-Bulk).

Results
E = -5.23 eV per atom
formation energy without anion corrections = -380.7 meV per atom

Cell: 6.2061 6.2061 6.2061 Å, 127.91 127.91 76.78°
With the nearest neighbours (Å) after each atom.
Sites, in units of the cell vectors:
Ge 0.0798 0.6250 0.9548  2 O 2.14
Ge 0.3750 0.3298 0.4548  2 O 2.14
Ge 0.6702 0.1250 0.0452  2 O 2.14
Ge 0.8750 0.9202 0.5452  2 O 2.14
Pd 0.2500 0.7500 0.5000  4 Ge 2.43
Pd 0.5000 0.5000 0.0000  4 Ge 2.43
O 0.0000 0.0000 0.0000  4 Ge 2.14
O 0.7500 0.2500 0.5000  4 Ge 2.14

=====

# 2
# Np2PaN4

An optimized crystal structure of Np2PaN4 (PBE, Alexandria via LeMat-Bulk).

Results
E = -11.06 eV per atom
formation energy without anion corrections = -1247.4 meV per atom

Cell: 5.9215 5.9215 10.6524 Å, 90.00 90.00 147.22°
With the nearest neighbours (Å) after each atom.
Sites, in units of the cell vectors:
Np 0.1298 0.8702 0.5720  6 N 2.24-2.44
Np 0.1298 0.8702 0.9280  6 N 2.24-2.44
Np 0.8702 0.1298 0.0720  6 N 2.24-2.44
Np 0.8702 0.1298 0.4280  6 N 2.24-2.44
Pa 0.3808 0.6192 0.7500  6 N 2.31-2.48
Pa 0.6192 0.3808 0.2500  6 N 2.31-2.48
N 0.0217 0.9783 0.7500  2 Np 2.26, 2 Pa 2.31
N 0.2192 0.7808 0.1157  3 Np 2.24-2.44, 2 Pa 2.48
N 0.2192 0.7808 0.3843  3 Np 2.24-2.44, 2 Pa 2.48
N 0.5000 0.5000 0.0000  4 Np 2.36
N 0.5000 0.5000 0.5000  4 Np 2.36
N 0.7808 0.2192 0.6157  3 Np 2.24-2.44, 2 Pa 2.48
N 0.7808 0.2192 0.8843  3 Np 2.24-2.44, 2 Pa 2.48
N 0.9783 0.0217 0.2500  2 Np 2.26, 2 Pa 2.31